# 1
Density functional theory data (PBE) for crystalline ZnIn5Br8 at its relaxed geometry.

Calculated values
As for the space-group type: I-4 (82).

Lattice parameters (Å, degrees): 9.0856 9.0856 9.0856 120.00 89.99 120.00
Element x y z (fractional)
1 Br 0.1396 0.7202 0.8606
2 In 0.5000 0.0000 0.5000
3 In 0.8796 0.7597 0.6406
4 Br 0.1253 0.7510 0.3753
5 In 0.8809 0.2403 0.1199
6 Br 0.6256 0.2499 0.8747
7 Br 0.5806 0.7210 0.8604
8 Br 0.6247 0.7501 0.3757
9 In 0.3594 0.2390 0.1191
10 Br 0.1404 0.2798 0.4194
11 Zn 0.2500 0.5000 0.7500
12 In 0.8801 0.7610 0.1204
13 Br 0.1394 0.2790 0.8596
14 Br 0.6243 0.2490 0.3744



# 2
Density functional theory data (PBE) for crystalline Zn2In2Br at its relaxed geometry.

Calculated values
For the offset from the most stable computed form, the calculation gives 0.012 eV per atom. As for the space-group type: P4/mbm (127).

Lattice parameters (Å, degrees): 8.2124 8.2124 3.5594 90.00 90.00 90.00
Element x y z (fractional)
1 Br 0.0000 0.0000 0.0000
2 In 0.8064 0.3064 0.5000
3 Zn 0.6101 0.1101 0.0000
4 Zn 0.8899 0.6101 0.0000
5 In 0.3064 0.1936 0.5000
6 Zn 0.3899 0.8899 0.0000
7 In 0.1936 0.6936 0.5000
8 Br 0.5000 0.5000 0.0000
9 In 0.6936 0.8064 0.5000
10 Zn 0.1101 0.3899 0.0000



# 3
Density functional theory data (PBE) for crystalline Zn2In2Br7 at its relaxed geometry.

Calculated values
As for the space-group type: C2/m (12).

Lattice parameters (Å, degrees): 6.5851 7.9913 7.9913 102.32 96.85 96.85
Element x y z (fractional)
1 Br 0.7804 0.9154 0.5865
2 Zn 0.5903 0.7707 0.7707
3 In 0.0000 0.6970 0.3030
4 Br 0.2196 0.4135 0.0846
5 Br 0.5000 0.0000 0.0000
6 Br 0.2196 0.0846 0.4135
7 Zn 0.4097 0.2293 0.2293
8 In 0.0000 0.3030 0.6970
9 Br 0.7396 0.3905 0.3905
10 Br 0.2604 0.6095 0.6095
11 Br 0.7804 0.5865 0.9154



# 4
Density functional theory data (PBE) for crystalline ZnIn3Br5 at its relaxed geometry.

Calculated values
As for the space-group type: I4/mcm (140).

Lattice parameters (Å, degrees): 8.6091 8.6091 9.9457 115.65 115.65 90.00
Element x y z (fractional)
1 Br 0.4966 0.3107 0.3074
2 In 0.1534 0.3466 0.0000
3 Br 0.5034 0.6893 0.6926
4 In 0.7500 0.7500 0.5000
5 Br 0.5000 0.5000 0.0000
6 In 0.2500 0.2500 0.5000
7 In 0.3466 0.8466 0.0000
8 In 0.8466 0.6534 0.0000
9 Br 0.0000 0.0000 0.0000
10 In 0.6534 0.1534 0.0000
11 Br 0.1893 0.0034 0.6926
12 Br 0.8107 0.9966 0.3074
13 Zn 0.7500 0.2500 0.5000
14 Br 0.6893 0.1893 0.6926
15 Br 0.9966 0.4966 0.3074
16 Br 0.0034 0.5034 0.6926
17 Br 0.3107 0.8107 0.3074
18 Zn 0.2500 0.7500 0.5000



# 5
Density functional theory data (PBE) for crystalline ZnInBr at its relaxed geometry.

Calculated values
For the offset from the most stable computed form, the calculation gives 0.031 eV per atom. As for the space-group type: P1 (1).

Lattice parameters (Å, degrees): 4.4482 6.1789 6.6544 82.27 82.26 70.99
Element x y z (fractional)
1 Zn 0.7241 0.3620 0.4020
2 Zn 0.7866 0.2022 0.8816
3 In 0.3574 0.1021 0.6333
4 Br 0.3304 0.7028 0.2100
5 Br 0.7510 0.6305 0.6815
6 In 0.2654 0.1821 0.1452



# 6
Density functional theory data (PBE) for crystalline ZnInBr2 at its relaxed geometry.

Calculated values
For the offset from the most stable computed form, the calculation gives 0.024 eV per atom. As for the space-group type: P1 (1).

Lattice parameters (Å, degrees): 6.6115 6.7521 6.8208 68.80 89.94 80.12
Element x y z (fractional)
1 Br 0.1619 0.9743 0.9918
2 Zn 0.6307 0.4181 0.3277
3 In 0.3006 0.7978 0.6408
4 In 0.6881 0.9412 0.0589
5 Br 0.0011 0.4305 0.4117
6 Br 0.6736 0.0114 0.5259
7 Zn 0.2979 0.6336 0.2984
8 Br 0.6274 0.4416 0.9317



# 7
Density functional theory data (PBE) for crystalline ZnIn2Br4 at its relaxed geometry.

Calculated values
For the offset from the most stable computed form, the calculation gives 0.073 eV per atom. As for the space-group type: I4/mmm (139).

Lattice parameters (Å, degrees): 5.3418 5.3418 8.8349 72.40 72.40 90.00
Element x y z (fractional)
1 In 0.3631 0.3631 0.2738
2 Br 0.8398 0.8398 0.3203
3 In 0.6369 0.6369 0.7262
4 Br 0.1602 0.1602 0.6797
5 Zn 0.0000 0.0000 0.0000
6 Br 0.5000 0.0000 0.0000
7 Br 0.0000 0.5000 0.0000



# 8
Density functional theory data (PBE) for crystalline ZnInBr2 at its relaxed geometry.

Calculated values
For the offset from the most stable computed form, the calculation gives 0.196 eV per atom. As for the space-group type: Cmm2 (35).

Lattice parameters (Å, degrees): 3.9042 3.9042 9.6031 90.00 90.00 122.67
Element x y z (fractional)
1 In 0.0000 0.0000 0.5243
2 Br 0.5000 0.5000 0.3106
3 Zn 0.5000 0.5000 0.7464
4 Br 0.0000 0.0000 0.9187



# 9
Density functional theory data (PBE) for crystalline Zn3InBr at its relaxed geometry.

Calculated values
For the offset from the most stable computed form, the calculation gives 0.425 eV per atom. As for the space-group type: Pm-3m (221).

Lattice parameters (Å, degrees): 5.3220 5.3220 5.3220 90.00 90.00 90.00
Element x y z (fractional)
1 In 0.5000 0.5000 0.5000
2 Zn 0.5000 0.0000 0.0000
3 Zn 0.0000 0.0000 0.5000
4 Br 0.0000 0.0000 0.0000
5 Zn 0.0000 0.5000 0.0000



# 10
Density functional theory data (PBE) for crystalline ZnInBr2 at its relaxed geometry.

Calculated values
For the offset from the most stable computed form, the calculation gives 0.013 eV per atom. As for the space-group type: P1 (1).

Lattice parameters (Å, degrees): 6.5674 6.7430 6.8318 69.83 72.34 81.32
Element x y z (fractional)
1 In 0.7743 0.4131 0.0403
2 Zn 0.4022 0.4867 0.5606
3 Br 0.4867 0.1118 0.5339
4 Zn 0.6517 0.7392 0.3029
5 In 0.0567 0.1094 0.4346
6 Br 0.0111 0.5525 0.5361
7 Br 0.8890 0.9736 0.9891
8 Br 0.3468 0.4267 0.9538



# 11
Density functional theory data (PBE) for crystalline ZnInBr2 at its relaxed geometry.

Calculated values
For the offset from the most stable computed form, the calculation gives 0.258 eV per atom. As for the space-group type: Immm (71).

Lattice parameters (Å, degrees): 6.3355 6.3355 6.3355 146.18 123.33 67.65
Element x y z (fractional)
1 In 0.7500 0.2500 0.5000
2 Br 0.0773 0.0773 0.0000
3 Br 0.4227 0.4227 0.0000
4 Zn 0.2500 0.7500 0.5000



# 12
Density functional theory data (PBE) for crystalline ZnInBr at its relaxed geometry.

Calculated values
For the offset from the most stable computed form, the calculation gives 0.083 eV per atom. As for the space-group type: P3m1 (156).

Lattice parameters (Å, degrees): 4.4261 4.4261 5.1233 90.00 90.00 120.00
Element x y z (fractional)
1 Br 0.0000 0.0000 0.9835
2 In 0.3333 0.6667 0.3754
3 Zn 0.6667 0.3333 0.6411



# 13
Density functional theory data (PBE) for crystalline ZnInBr2 at its relaxed geometry.

Calculated values
For the offset from the most stable computed form, the calculation gives 0.275 eV per atom. As for the space-group type: C2/m (12).

Lattice parameters (Å, degrees): 4.5085 4.5085 7.3377 72.88 72.88 60.58
Element x y z (fractional)
1 Br 0.4917 0.4917 0.5345
2 Zn 0.7500 0.7500 0.7500
3 Br 0.0083 0.0083 0.9655
4 In 0.2500 0.2500 0.2500



# 14
Density functional theory data (PBE) for crystalline ZnIn3Br4 at its relaxed geometry.

Calculated values
As for the space-group type: Pmn2_1 (31).

Lattice parameters (Å, degrees): 6.6374 9.7230 9.2449 90.00 90.00 90.00
Element x y z (fractional)
1 Br 0.6417 0.9601 0.5000
2 In 0.5307 0.7720 0.0000
3 Br 0.0867 0.4032 0.2093
4 In 0.0317 0.7333 0.8300
5 Br 0.1417 0.0399 0.0000
6 Br 0.5867 0.5968 0.2907
7 In 0.5317 0.2667 0.6700
8 In 0.5317 0.2667 0.3300
9 In 0.0317 0.7333 0.1700
10 Zn 0.4861 0.7368 0.5000
11 Br 0.1200 0.7613 0.5000
12 Zn 0.9861 0.2632 0.0000
13 Br 0.6200 0.2387 0.0000
14 Br 0.5867 0.5968 0.7093
15 In 0.0307 0.2280 0.5000
16 Br 0.0867 0.4032 0.7907



# 15
Density functional theory data (PBE) for crystalline ZnInBr2 at its relaxed geometry.

Calculated values
For the offset from the most stable computed form, the calculation gives 0.008 eV per atom. As for the space-group type: P1 (1).

Lattice parameters (Å, degrees): 6.5027 6.5106 6.7418 73.37 73.38 76.75
Element x y z (fractional)
1 Br 0.4065 0.0549 0.4063
2 Zn 0.4931 0.6341 0.5652
3 In 0.5684 0.1525 0.9076
4 Br 0.0593 0.2102 0.9453
5 Br 0.9101 0.5744 0.4043
6 Zn 0.2541 0.3978 0.5640
7 In 0.0054 0.7194 0.9006
8 Br 0.4901 0.6382 0.9554



# 16
Density functional theory data (PBE) for crystalline ZnInBr2 at its relaxed geometry.

Calculated values
For the offset from the most stable computed form, the calculation gives 0.270 eV per atom. As for the space-group type: Cmmm (65).

Lattice parameters (Å, degrees): 3.8433 3.8433 9.8679 90.00 90.00 124.12
Element x y z (fractional)
1 Br 0.0000 0.0000 0.9316
2 Zn 0.5000 0.5000 0.7500
3 Br 0.0000 0.0000 0.5684
4 In 0.5000 0.5000 0.2500



# 17
Density functional theory data (PBE) for crystalline ZnInBr2 at its relaxed geometry.

Calculated values
For the offset from the most stable computed form, the calculation gives 0.100 eV per atom. As for the space-group type: Cm (8).

Lattice parameters (Å, degrees): 7.3256 7.3256 5.3752 66.52 66.52 31.03
Element x y z (fractional)
1 Br 0.2462 0.2462 0.2099
2 Zn 0.8550 0.8550 0.8488
3 In 0.3920 0.3920 0.4524
4 Br 0.0068 0.0068 0.9888



# 18
Density functional theory data (PBE) for crystalline ZnInBr2 at its relaxed geometry.

Calculated values
For the offset from the most stable computed form, the calculation gives 0.342 eV per atom. As for the space-group type: I-4m2 (119).

Lattice parameters (Å, degrees): 7.5816 7.5816 7.5816 147.26 147.26 46.97
Element x y z (fractional)
1 Br 0.0000 0.0000 0.0000
2 In 0.5000 0.5000 0.0000
3 Zn 0.7500 0.2500 0.5000
4 Br 0.2500 0.7500 0.5000



# 19
Density functional theory data (PBE) for crystalline ZnInBr2 at its relaxed geometry.

Calculated values
For the offset from the most stable computed form, the calculation gives 0.340 eV per atom. As for the space-group type: Pmmm (47).

Lattice parameters (Å, degrees): 4.4766 6.7284 4.1015 90.00 90.00 90.00
Element x y z (fractional)
1 Br 0.5000 0.5000 0.0000
2 Zn 0.0000 0.5000 0.5000
3 Br 0.0000 0.0000 0.0000
4 In 0.5000 0.0000 0.5000



# 20
Density functional theory data (PBE) for crystalline ZnInBr at its relaxed geometry.

Calculated values
For the offset from the most stable computed form, the calculation gives 0.022 eV per atom. As for the space-group type: Cm (8).

Lattice parameters (Å, degrees): 6.4532 4.2778 12.3036 90.00 96.43 90.00
Element x y z (fractional)
1 In 0.3555 0.0000 0.3333
2 Zn 0.9288 0.0000 0.0441
3 Zn 0.6133 0.5000 0.3944
4 In 0.9052 0.5000 0.8712
5 In 0.9052 0.0000 0.3712
6 Br 0.8352 0.5000 0.1674
7 Br 0.3158 0.0000 0.0987
8 In 0.3555 0.5000 0.8333
9 Br 0.8352 0.0000 0.6674
10 Zn 0.9288 0.5000 0.5441
11 Br 0.3158 0.5000 0.5987
12 Zn 0.6133 0.0000 0.8944



# 21
Density functional theory data (PBE) for crystalline ZnIn2Br4 at its relaxed geometry.

Calculated values
For the offset from the most stable computed form, the calculation gives 0.000 eV per atom. As for the space-group type: P1 (1).

Lattice parameters (Å, degrees): 8.0222 8.0224 6.7824 126.34 126.09 90.20
Element x y z (fractional)
1 In 0.0793 0.5731 0.1457
2 Zn 0.0689 0.0707 0.1411
3 Br 0.0476 0.7013 0.7487
4 Br 0.4396 0.4413 0.5334
5 Br 0.7004 0.0489 0.7507
6 Br 0.0917 0.0919 0.5324
7 In 0.5725 0.0733 0.1484



# 22
Density functional theory data (PBE) for crystalline ZnInBr2 at its relaxed geometry.

Calculated values
For the offset from the most stable computed form, the calculation gives 0.357 eV per atom. As for the space-group type: Fm-3m (225).

Lattice parameters (Å, degrees): 5.3734 5.3734 5.3734 60.00 60.00 60.00
Element x y z (fractional)
1 Zn 0.0000 0.0000 0.0000
2 In 0.5000 0.5000 0.5000
3 Br 0.2500 0.2500 0.2500
4 Br 0.7500 0.7500 0.7500



# 23
Density functional theory data (PBE) for crystalline ZnInBr2 at its relaxed geometry.

Calculated values
For the offset from the most stable computed form, the calculation gives 0.235 eV per atom. As for the space-group type: P4mm (99).

Lattice parameters (Å, degrees): 3.9851 3.9850 8.1925 90.00 90.00 90.00
Element x y z (fractional)
1 In 0.0000 0.0000 0.4423
2 Br 0.5000 0.5000 0.2592
3 Br 0.0000 0.0000 0.8833
4 Zn 0.5000 0.5000 0.9152



# 24
Density functional theory data (PBE) for crystalline ZnInBr2 at its relaxed geometry.

Calculated values
For the offset from the most stable computed form, the calculation gives 0.282 eV per atom. As for the space-group type: P2/m (10).

Lattice parameters (Å, degrees): 3.8687 3.9550 8.0071 89.37 90.00 90.00
Element x y z (fractional)
1 Br 0.0000 0.7427 0.5068
2 Br 0.0000 0.7573 0.9932
3 In 0.5000 0.2500 0.2500
4 Zn 0.5000 0.7500 0.7500



# 25
Density functional theory data (PBE) for crystalline ZnInBr at its relaxed geometry.

Calculated values
For the offset from the most stable computed form, the calculation gives 0.000 eV per atom. As for the space-group type: P-1 (2).

Lattice parameters (Å, degrees): 5.3938 5.3674 6.4242 64.78 90.12 88.18
Element x y z (fractional)
1 In 0.2653 0.8884 0.4361
2 Zn 0.2212 0.3260 0.5700
3 Br 0.7491 0.7289 0.0189
4 Zn 0.7788 0.6740 0.4300
5 In 0.7347 0.1116 0.5639
6 Br 0.2509 0.2711 0.9811



# 26
Density functional theory data (PBE) for crystalline ZnInBr2 at its relaxed geometry.

Calculated values
For the offset from the most stable computed form, the calculation gives 0.185 eV per atom. As for the space-group type: R-3m (166).

Lattice parameters (Å, degrees): 9.8171 9.8171 9.8171 21.85 21.85 21.85
Element x y z (fractional)
1 In 0.2500 0.2500 0.2500
2 Zn 0.7500 0.7500 0.7500
3 Br 0.4705 0.4705 0.4705
4 Br 0.0295 0.0295 0.0295



Formation energy (no corrections) for every record listed, in sequence, given in meV per atom: -678, -39, -716, -719, -243, -570, -670, -398, 576, -581, -336, -191, -320, -530, -586, -324, -494, -252, -254, -252, -742, -237, -360, -312, -274, -409.